(1)
First-principles (PBE) data for K2IrPb2 after structural relaxation, as listed in Alexandria.

a = 7.5821 Å, b = 7.5821 Å, c = 5.3086 Å
α = 90.00°, β = 90.00°, γ = 90.00°
Atoms (fractional coordinates):
K (0.1315, 0.3685, 0.0000)
K (0.3685, 0.8685, 0.0000)
K (0.8685, 0.6315, 0.0000)
K (0.6315, 0.1315, 0.0000)
Pb (0.1893, 0.6893, 0.5000)
Pb (0.6893, 0.8107, 0.5000)
Pb (0.3107, 0.1893, 0.5000)
Pb (0.8107, 0.3107, 0.5000)
Ir (0.5000, 0.5000, 0.0000)
Ir (0.0000, 0.0000, 0.0000)

For the formation energy, the calculation gives 877 meV/atom. The value obtained for the energy above the lowest structure with this stoichiometry is 747.9 meV/atom.

---

(2)
First-principles (PBE) data for Pm7GePb4 after structural relaxation, as listed in Alexandria.

a = 5.7161 Å, b = 9.4126 Å, c = 8.3648 Å
α = 67.49°, β = 70.02°, γ = 72.32°
Atoms (fractional coordinates):
Pb (0.4297, 0.7550, 0.3856)
Pb (0.7334, 0.7147, 0.8185)
Pb (0.2666, 0.2853, 0.1815)
Pb (0.5703, 0.2450, 0.6144)
Pm (0.0621, 0.6755, 0.2002)
Pm (0.8237, 0.9684, 0.3842)
Pm (0.5000, 0.0000, 0.0000)
Pm (0.9379, 0.3245, 0.7998)
Pm (0.3324, 0.5504, 0.7848)
Pm (0.1763, 0.0316, 0.6158)
Pm (0.6676, 0.4496, 0.2152)
Ge (0.0000, 0.0000, 0.0000)

For the formation energy, the calculation gives -408 meV/atom.

---

(3)
First-principles (PBE) data for TbPm5Pr2Y after structural relaxation, as listed in Alexandria.

a = 8.7087 Å, b = 8.7087 Å, c = 10.2845 Å
α = 115.05°, β = 115.05°, γ = 90.00°
Atoms (fractional coordinates):
Pm (0.5739, 0.6410, 0.7150)
Pm (0.8590, 0.9261, 0.2850)
Pm (0.9261, 0.4261, 0.2850)
Pm (0.1410, 0.0739, 0.7150)
Pm (0.5000, 0.5000, 0.0000)
Pm (0.6410, 0.1410, 0.7150)
Pm (0.0000, 0.0000, 0.0000)
Pm (0.0739, 0.5739, 0.7150)
Pm (0.3590, 0.8590, 0.2850)
Pm (0.4261, 0.3590, 0.2850)
Tb (0.7500, 0.7500, 0.5000)
Tb (0.2500, 0.2500, 0.5000)
Pr (0.8794, 0.6206, 0.0000)
Pr (0.3794, 0.8794, 0.0000)
Pr (0.6206, 0.1206, 0.0000)
Pr (0.1206, 0.3794, 0.0000)
Y (0.2500, 0.7500, 0.5000)
Y (0.7500, 0.2500, 0.5000)

For the formation energy, the calculation gives 267 meV/atom.

---

(4)
First-principles (PBE) data for LiTlTc2 after structural relaxation, as listed in Alexandria.

a = 3.7529 Å, b = 3.7529 Å, c = 10.2575 Å
α = 79.46°, β = 79.46°, γ = 90.00°
Atoms (fractional coordinates):
Tc (0.5705, 0.1250, 0.2500)
Tc (0.8750, 0.8205, 0.7500)
Tc (0.1795, 0.6250, 0.2500)
Tc (0.3750, 0.4295, 0.7500)
Li (0.5000, 0.5000, 0.0000)
Li (0.2500, 0.7500, 0.5000)
Tl (0.0000, 0.0000, 0.0000)
Tl (0.7500, 0.2500, 0.5000)

For the formation energy, the calculation gives 573 meV/atom. The value obtained for the energy above the lowest structure with this stoichiometry is 415.5 meV/atom.

---

(5)
First-principles (PBE) data for Li2ZnCl after structural relaxation, as listed in Alexandria.

a = 5.5568 Å, b = 5.5568 Å, c = 5.5568 Å
α = 146.06°, β = 109.01°, γ = 81.07°
Atoms (fractional coordinates):
Zn (0.2500, 0.7500, 0.5000)
Li (0.5500, 0.5500, 0.0000)
Li (0.9500, 0.9500, 0.0000)
Cl (0.7500, 0.2500, 0.5000)

The value obtained for the energy above the lowest structure with this stoichiometry is 150.3 meV/atom. The uncorrected formation energy comes out at -14.3 kcal/mol of atoms.

---

(6)
First-principles (PBE) data for NaGe3Pt after structural relaxation, as listed in Alexandria.

a = 4.8460 Å, b = 4.8460 Å, c = 4.8460 Å
α = 90.00°, β = 90.00°, γ = 90.00°
Atoms (fractional coordinates):
Ge (0.0000, 0.5000, 0.0000)
Ge (0.0000, 0.0000, 0.5000)
Ge (0.5000, 0.0000, 0.0000)
Pt (0.5000, 0.5000, 0.5000)
Na (0.0000, 0.0000, 0.0000)

For the formation energy, the calculation gives 1240 meV/atom. The value obtained for the energy above the lowest structure with this stoichiometry is 1532.8 meV/atom.

---

(7)
First-principles (PBE) data for Sc3Tc after structural relaxation, as listed in Alexandria.

a = 5.0725 Å, b = 5.0725 Å, c = 5.0725 Å
α = 90.00°, β = 90.00°, γ = 90.00°
Atoms (fractional coordinates):
Sc (0.0000, 0.5000, 0.0000)
Sc (0.0000, 0.0000, 0.5000)
Sc (0.5000, 0.0000, 0.0000)
Tc (0.0000, 0.0000, 0.0000)

For the formation energy, the calculation gives 500 meV/atom.

---

(8)
First-principles (PBE) data for Cs8KAu2 after structural relaxation, as listed in Alexandria.

a = 7.6960 Å, b = 10.8443 Å, c = 10.8443 Å
α = 112.44°, β = 95.65°, γ = 95.65°
Atoms (fractional coordinates):
Au (0.0000, 0.6818, 0.3182)
Au (0.0000, 0.3182, 0.6818)
Cs (0.9197, 0.9469, 0.6611)
Cs (0.9197, 0.6611, 0.9469)
Cs (0.2643, 0.6024, 0.6024)
Cs (0.5000, 0.7342, 0.2658)
Cs (0.7357, 0.3976, 0.3976)
Cs (0.5000, 0.2658, 0.7342)
Cs (0.0803, 0.3389, 0.0531)
Cs (0.0803, 0.0531, 0.3389)
K (0.5000, 0.0000, 0.0000)

For the formation energy, the calculation gives -111 meV/atom.

---

Which size of the total moment belongs to each record? In order, 0.0, 0.0, 0.0, 0.0, 0.0, 0.0, 0.0, 0.0 μB/cell.
Which V belongs to each record? In order, 305.18, 382.92, 624.72, 139.55, 88.40, 113.80, 130.52, 823.27 Å³/cell.